[1]
The following is a PBE-GGA calculation of a relaxed structure of MoPb, from the Alexandria database.

The density is 10.9 g/cm3. As for the energy above the most stable polymorph in this dataset: 169.9 meV per atom. For the formation energy, the calculation gives 11.4 kcal/mol of atoms.

a = 3.386 Å, b = 5.128 Å, c = 10.669 Å
α = 90.00°, β = 90.00°, γ = 90.00°
Space group Cmme (No. 67)
One atom of each set of equivalent atoms:
Mo: 0.000 0.250 0.088
Pb: 0.000 0.250 0.670

---

[2]
The following is a PBE-GGA calculation of a relaxed structure of Ti2Zn3Ga, from the Alexandria database.

The density is 6.5 g/cm3. As for the energy above the most stable polymorph in this dataset: 0.0 meV per atom. For the formation energy, the calculation gives -6.0 kcal/mol of atoms.

a = 2.932 Å, b = 4.269 Å, c = 7.377 Å
α = 90.00°, β = 90.00°, γ = 90.00°
Space group Pmm2 (No. 25)
One atom of each set of equivalent atoms:
Ti: 0.000 0.000 0.000
Ti: 0.000 0.500 0.491
Zn: 0.500 0.000 0.666
Zn: 0.500 0.500 0.158
Zn: 0.500 0.500 0.827
Ga: 0.500 0.000 0.331

---

[3]
The following is a PBE-GGA calculation of a relaxed structure of DyPaIr, from the Alexandria database.

The density is 12.5 g/cm3. As for the energy above the most stable polymorph in this dataset: 159.9 meV per atom. For the formation energy, the calculation gives -8.0 kcal/mol of atoms.

a = 6.777 Å, b = 6.777 Å, c = 6.777 Å
α = 90.00°, β = 90.00°, γ = 90.00°
Space group F-43m (No. 216)
One atom of each set of equivalent atoms:
Dy: 0.000 0.000 0.000
Pa: 0.000 0.000 0.500
Ir: 0.250 0.250 0.250

---

[4]
The following is a PBE-GGA calculation of a relaxed structure of MgCd7Ag12, from the Alexandria database.

The density is 8.8 g/cm3. For the formation energy, the calculation gives 0.3 kcal/mol of atoms.

a = 12.6836 Å, b = 12.6836 Å, c = 8.5301 Å
α = 90.00°, β = 90.00°, γ = 120.00°
Space group R-3 (No. 148, hexagonal axes)
One atom of each set of equivalent atoms:
Mg: 0.0000 0.0000 0.0000
Cd: 0.0000 0.0000 0.5000
Cd: 0.0578 0.2471 0.9175
Ag: 0.0551 0.2395 0.5785
Ag: 0.0572 0.2172 0.2500

---

[5]
The following is a PBE-GGA calculation of a relaxed structure of Cu2SiRh2, from the Alexandria database.

The density is 8.3 g/cm3. As for the energy above the most stable polymorph in this dataset: 0.0 meV per atom. For the formation energy without anion corrections, the calculation gives -0.20 eV per atom.

a = 6.018 Å, b = 6.018 Å, c = 3.985 Å
α = 90.00°, β = 90.00°, γ = 90.00°
Space group P4/mbm (No. 127)
One atom of each set of equivalent atoms:
Cu: 0.153 0.347 0.000
Si: 0.000 0.000 0.500
Rh: 0.151 0.651 0.500

---

[6]
The following is a PBE-GGA calculation of a relaxed structure of Pr2ZrPt, from the Alexandria database.

The density is 7.9 g/cm3. For the formation energy, the calculation gives 1.0 kcal/mol of atoms.

a = 3.6470 Å, b = 3.6470 Å, c = 31.1990 Å
α = 90.00°, β = 90.00°, γ = 120.00°
Space group R-3m (No. 166, hexagonal axes)
One atom of each set of equivalent atoms:
Pr: 0.0000 0.0000 0.1021
Zr: 0.0000 0.0000 0.0000
Pt: 0.0000 0.0000 0.5000

---

Magnetic moment / Bohr magnetons per cell: 0.00; 0.00; 0.02; 0.00; 0.00; 3.51